Entry 1:
Density functional theory data (GGA-PBE) for crystalline Dy5Co19P12 at its relaxed geometry.

Cell lengths 11.9849, 11.9849, 3.6735 Å; angles 90.00, 90.00, 120.00 degrees
Closest atoms and distances in Å follow each position.
Sites, in units of the cell vectors:
Dy 0.0000 0.8126 0.0000  6 P 2.85-2.87, 10 Co 2.90-3.09
Dy 0.1874 0.1874 0.0000  6 P 2.85-2.87, 10 Co 2.90-3.09
Dy 0.3333 0.6667 0.5000  6 P 2.81, 9 Co 2.99-3.00
Dy 0.6667 0.3333 0.5000  6 P 2.81, 9 Co 2.99-3.00
Dy 0.8126 0.0000 0.0000  6 P 2.85-2.87, 10 Co 2.90-3.09
Co 0.0000 0.0000 0.5000  3 P 2.17
Co 0.0000 0.2852 0.0000  4 P 2.18-2.22
Co 0.0000 0.4471 0.5000  1 P 2.21
Co 0.1252 0.6411 0.0000  4 P 2.22-2.34
Co 0.1782 0.3779 0.5000  4 P 2.25-2.34
Co 0.1996 0.8218 0.5000  4 P 2.25-2.34
Co 0.2852 0.0000 0.0000  4 P 2.18-2.22
Co 0.3589 0.4841 0.0000  4 P 2.22-2.34
Co 0.3779 0.1782 0.5000  4 P 2.25-2.34
Co 0.4471 0.0000 0.5000  1 P 2.21
Co 0.4841 0.3589 0.0000  4 P 2.22-2.34
Co 0.5159 0.8748 0.0000  4 P 2.22-2.34
Co 0.5529 0.5529 0.5000  1 P 2.21
Co 0.6221 0.8004 0.5000  4 P 2.25-2.34
Co 0.6411 0.1252 0.0000  4 P 2.22-2.34
Co 0.7148 0.7148 0.0000  4 P 2.18-2.22
Co 0.8004 0.6221 0.5000  4 P 2.25-2.34
Co 0.8218 0.1996 0.5000  4 P 2.25-2.34
Co 0.8748 0.5159 0.0000  4 P 2.22-2.34
P 0.0000 0.1809 0.5000  5 Co 2.17-2.26
P 0.0000 0.6313 0.5000  7 Co 2.21-2.34
P 0.1660 0.4798 0.0000  5 Co 2.18-2.29
P 0.1809 0.0000 0.5000  5 Co 2.17-2.26
P 0.3137 0.8340 0.0000  5 Co 2.18-2.29
P 0.3687 0.3687 0.5000  7 Co 2.21-2.34
P 0.4798 0.1660 0.0000  5 Co 2.18-2.29
P 0.5202 0.6863 0.0000  5 Co 2.18-2.29
P 0.6313 0.0000 0.5000  7 Co 2.21-2.34
P 0.6863 0.5202 0.0000  5 Co 2.18-2.29
P 0.8191 0.8191 0.5000  5 Co 2.17-2.26
P 0.8340 0.3137 0.0000  5 Co 2.18-2.29

Computed properties:
The energy of formation from the pure elements is -890 meV/atom.

***

Entry 2:
Density functional theory data (GGA-PBE) for crystalline LiBeV at its relaxed geometry.

Cell lengths 4.5050, 2.2727, 7.2673 Å; angles 90.00, 102.21, 90.00 degrees
Closest atoms and distances in Å follow each position.
Sites, in units of the cell vectors:
Li 0.2279 0.0000 0.4289  2 Li 2.27, 2 Be 2.46-2.47
Li 0.7721 0.5000 0.5711  2 Li 2.27, 2 Be 2.46-2.47
Be 0.1223 0.4939 0.1209  4 Be 2.18-2.27
Be 0.8777 0.9939 0.8791  4 Be 2.18-2.27
V 0.3677 0.4941 0.8367  2 V 2.27, 3 Be 2.52-2.54
V 0.6323 0.9941 0.1633  2 V 2.27, 3 Be 2.52-2.54

Computed properties:
The energy of formation from the pure elements is 180 meV/atom. As for the distance to the lowest polymorph of the same formula: 39 meV per atom.

***

Entry 3:
Density functional theory data (GGA-PBE) for crystalline MgCuPt2 at its relaxed geometry.

Cell lengths 4.8526, 4.8526, 4.8526 Å; angles 132.86, 132.86, 68.88 degrees
Closest atoms and distances in Å follow each position.
Sites, in units of the cell vectors:
Mg 0.0000 0.0000 0.0000  8 Pt 2.74-2.79, 4 Cu 2.79
Cu 0.7500 0.2500 0.5000  8 Pt 2.74-2.79, 4 Mg 2.79
Pt 0.2500 0.7500 0.5000  4 Cu 2.74, 4 Mg 2.79, 4 Pt 2.79
Pt 0.5000 0.5000 0.0000  4 Mg 2.74, 4 Cu 2.79, 4 Pt 2.79

Computed properties:
The energy of formation from the pure elements is -448 meV/atom.

***

Entry 4:
Density functional theory data (GGA-PBE) for crystalline GaFeCo6 at its relaxed geometry.

Cell lengths 5.0445, 5.0445, 4.0927 Å; angles 90.00, 90.00, 120.00 degrees
Closest atoms and distances in Å follow each position.
Sites, in units of the cell vectors:
Ga 0.0000 0.0000 0.0000  12 Co 2.52
Fe 0.6667 0.3333 0.5000  12 Co 2.51-2.52
Co 0.0011 0.5006 0.0000  8 Co 2.51-2.53, 2 Fe 2.51, 2 Ga 2.52
Co 0.1675 0.3349 0.5000  8 Co 2.51-2.53, 2 Ga 2.52, 2 Fe 2.52
Co 0.1675 0.8325 0.5000  8 Co 2.51-2.53, 2 Ga 2.52, 2 Fe 2.52
Co 0.4994 0.5006 0.0000  8 Co 2.51-2.53, 2 Fe 2.51, 2 Ga 2.52
Co 0.4994 0.9989 0.0000  8 Co 2.51-2.53, 2 Fe 2.51, 2 Ga 2.52
Co 0.6651 0.8325 0.5000  8 Co 2.51-2.53, 2 Ga 2.52, 2 Fe 2.52

Computed properties:
The energy of formation from the pure elements is -27 meV/atom.

***

Entry 5:
Density functional theory data (GGA-PBE) for crystalline ReMo2Os at its relaxed geometry.

Cell lengths 2.7173, 2.7173, 8.8420 Å; angles 90.00, 90.00, 110.03 degrees
Closest atoms and distances in Å follow each position.
Sites, in units of the cell vectors:
Re 0.0000 0.0000 0.0000  4 Mo 2.71, 4 Re 2.72
Mo 0.5000 0.5000 0.2508  2 Os 2.70, 2 Re 2.71, 4 Mo 2.72
Mo 0.5000 0.5000 0.7492  2 Os 2.70, 2 Re 2.71, 4 Mo 2.72
Os 0.0000 0.0000 0.5000  4 Mo 2.70, 4 Os 2.72

Computed properties:
The energy of formation from the pure elements is 216 meV/atom.

***

Entry 6:
Density functional theory data (GGA-PBE) for crystalline CsTcHgPb2 at its relaxed geometry.

Cell lengths 5.8458, 5.8458, 6.3150 Å; angles 90.00, 90.00, 90.00 degrees
Closest atoms and distances in Å follow each position.
Sites, in units of the cell vectors:
Cs 0.0000 0.0000 0.0000  2 Hg 3.16
Tc 0.5000 0.5000 0.0000  4 Cs 4.13, 8 Pb 4.30
Hg 0.0000 0.0000 0.5000  4 Pb 2.92, 2 Cs 3.16
Pb 0.0000 0.5000 0.5000  2 Hg 2.92
Pb 0.5000 0.0000 0.5000  2 Hg 2.92

Computed properties:
The energy of formation from the pure elements is 1262 meV/atom.

***

Number 1: volume 457.0 Å³ per cell, spin magnetization 7.13 μB/cell, DOS at the Fermi energy 19.6 states/eV/f.u.. Number 2: volume 72.7 Å³ per cell, spin magnetization 0.00 μB/cell, DOS at the Fermi energy 1.8 states/eV/f.u.. Number 3: volume 60.3 Å³ per cell, spin magnetization 0.00 μB/cell, DOS at the Fermi energy 3.1 states/eV/f.u.. Number 4: volume 90.2 Å³ per cell, spin magnetization 11.14 μB/cell, DOS at the Fermi energy 8.0 states/eV/f.u.. Number 5: volume 61.3 Å³ per cell, spin magnetization 0.00 μB/cell, DOS at the Fermi energy 5.2 states/eV/f.u.. Number 6: volume 215.8 Å³ per cell, spin magnetization 3.95 μB/cell, DOS at the Fermi energy 5.7 states/eV/f.u..